# 1
# Na4Hf3AuSe8 | Alexandria | PBE | optimized geometry
data_Na4Hf3AuSe8
_chemical_formula_sum 'Na8 Hf6 Au2 Se16'
_symmetry_space_group_name_H-M 'C 1 2/m 1'
_symmetry_Int_Tables_number 12
_symmetry_space_group_name_Hall '-C 2y'
_cell_length_a 13.672
_cell_length_b 7.885
_cell_length_c 8.336
_cell_angle_alpha 90.00
_cell_angle_beta 123.15
_cell_angle_gamma 90.00
loop_
_atom_site_label
_atom_site_fract_x
_atom_site_fract_y
_atom_site_fract_z
Na1 0.000 0.000 0.000
Na2 0.000 0.500 0.000
Na3 0.250 0.250 0.000
Hf1 0.000 0.000 0.500
Hf2 0.250 0.250 0.500
Au1 0.000 0.500 0.500
Se1 0.014 0.239 0.281
Se2 0.240 0.000 0.721
Se3 0.247 0.500 0.719
# * uncorrected formation energy: -105 kJ per mole of atoms

# 2
# Na2HfSiAu | Alexandria | PBE | optimized geometry
data_Na2HfSiAu
_chemical_formula_sum 'Na2 Hf1 Si1 Au1'
_symmetry_space_group_name_H-M 'P 4/m m m'
_symmetry_Int_Tables_number 123
_symmetry_space_group_name_Hall '-P 4 2'
_cell_length_a 5.283
_cell_length_b 5.283
_cell_length_c 4.589
_cell_angle_alpha 90.00
_cell_angle_beta 90.00
_cell_angle_gamma 90.00
loop_
_atom_site_label
_atom_site_fract_x
_atom_site_fract_y
_atom_site_fract_z
Na1 0.000 0.500 0.000
Hf1 0.000 0.000 0.500
Si1 0.500 0.500 0.000
Au1 0.500 0.500 0.500
# * uncorrected formation energy: 81 kJ per mole of atoms

# 3
# NaHfSnAu2 | Alexandria | PBE | optimized geometry
data_NaHfSnAu2
_chemical_formula_sum 'Na1 Hf1 Sn1 Au2'
_symmetry_space_group_name_H-M 'P 4/m m m'
_symmetry_Int_Tables_number 123
_symmetry_space_group_name_Hall '-P 4 2'
_cell_length_a 5.229
_cell_length_b 5.229
_cell_length_c 5.426
_cell_angle_alpha 90.00
_cell_angle_beta 90.00
_cell_angle_gamma 90.00
loop_
_atom_site_label
_atom_site_fract_x
_atom_site_fract_y
_atom_site_fract_z
Na1 0.000 0.000 0.000
Hf1 0.500 0.500 0.000
Sn1 0.500 0.500 0.500
Au1 0.000 0.500 0.500
# * formation enthalpy at 0 K: 598.7 meV per atom

# 4
# NaHfTa2Au | Alexandria | PBE | optimized geometry
data_NaHfTa2Au
_chemical_formula_sum 'Na1 Hf1 Ta2 Au1'
_symmetry_space_group_name_H-M 'P 4/m m m'
_symmetry_Int_Tables_number 123
_symmetry_space_group_name_Hall '-P 4 2'
_cell_length_a 4.927
_cell_length_b 4.927
_cell_length_c 5.247
_cell_angle_alpha 90.00
_cell_angle_beta 90.00
_cell_angle_gamma 90.00
loop_
_atom_site_label
_atom_site_fract_x
_atom_site_fract_y
_atom_site_fract_z
Na1 0.000 0.000 0.000
Hf1 0.000 0.000 0.500
Ta1 0.000 0.500 0.500
Au1 0.500 0.500 0.000
# * formation enthalpy at 0 K: 1791.1 meV per atom

# 5
# Na3Hf3Te8Au | Alexandria | PBE | optimized geometry
data_Na3Hf3Te8Au
_chemical_formula_sum 'Na6 Hf6 Te16 Au2'
_symmetry_space_group_name_H-M 'C 1 2/m 1'
_symmetry_Int_Tables_number 12
_symmetry_space_group_name_Hall '-C 2y'
_cell_length_a 14.069
_cell_length_b 8.534
_cell_length_c 8.860
_cell_angle_alpha 90.00
_cell_angle_beta 120.97
_cell_angle_gamma 90.00
loop_
_atom_site_label
_atom_site_fract_x
_atom_site_fract_y
_atom_site_fract_z
Na1 0.000 0.000 0.000
Na2 0.250 0.250 0.000
Hf1 0.000 0.500 0.500
Hf2 0.250 0.250 0.500
Te1 0.015 0.270 0.275
Te2 0.226 0.000 0.706
Te3 0.242 0.500 0.723
Au1 0.000 0.000 0.500
# * uncorrected formation energy: -67 kJ per mole of atoms

# 6
# Hf2NbAu | Alexandria | PBE | optimized geometry
data_Hf2NbAu
_chemical_formula_sum 'Hf8 Nb4 Au4'
_symmetry_space_group_name_H-M 'I -4 2 d'
_symmetry_Int_Tables_number 122
_symmetry_space_group_name_Hall 'I -4 2bw'
_cell_length_a 4.176
_cell_length_b 4.176
_cell_length_c 19.526
_cell_angle_alpha 90.00
_cell_angle_beta 90.00
_cell_angle_gamma 90.00
loop_
_atom_site_label
_atom_site_fract_x
_atom_site_fract_y
_atom_site_fract_z
Hf1 0.246 0.250 0.125
Nb1 0.000 0.000 0.000
Au1 0.000 0.000 0.500
# * energy above the most stable polymorph in this dataset: 2.63 eV/f.u.
# * formation enthalpy at 0 K: 361.5 meV per atom

# 7
# HfNb3Au | Alexandria | PBE | optimized geometry
data_HfNb3Au
_chemical_formula_sum 'Hf1 Nb3 Au1'
_symmetry_space_group_name_H-M 'P m -3 m'
_symmetry_Int_Tables_number 221
_symmetry_space_group_name_Hall '-P 4 2 3'
_cell_length_a 4.955
_cell_length_b 4.955
_cell_length_c 4.955
_cell_angle_alpha 90.00
_cell_angle_beta 90.00
_cell_angle_gamma 90.00
loop_
_atom_site_label
_atom_site_fract_x
_atom_site_fract_y
_atom_site_fract_z
Hf1 0.000 0.000 0.000
Nb1 0.000 0.500 0.500
Au1 0.500 0.500 0.500
# * energy above the most stable polymorph in this dataset: 0.00 eV/f.u.
# * formation enthalpy at 0 K: 1406.5 meV per atom

# 8
# HfNbAu2 | Alexandria | PBE | optimized geometry
data_HfNbAu2
_chemical_formula_sum 'Hf4 Nb4 Au8'
_symmetry_space_group_name_H-M 'I -4 2 d'
_symmetry_Int_Tables_number 122
_symmetry_space_group_name_Hall 'I -4 2bw'
_cell_length_a 7.606
_cell_length_b 7.606
_cell_length_c 5.555
_cell_angle_alpha 90.00
_cell_angle_beta 90.00
_cell_angle_gamma 90.00
loop_
_atom_site_label
_atom_site_fract_x
_atom_site_fract_y
_atom_site_fract_z
Hf1 0.000 0.000 0.000
Nb1 0.000 0.000 0.500
Au1 0.246 0.750 0.625
# * formation enthalpy at 0 K: 147.3 meV per atom

# 9
# HfNb2Au | Alexandria | PBE | optimized geometry
data_HfNb2Au
_chemical_formula_sum 'Hf4 Nb8 Au4'
_symmetry_space_group_name_H-M 'F m -3 m'
_symmetry_Int_Tables_number 225
_symmetry_space_group_name_Hall '-F 4 2 3'
_cell_length_a 6.684
_cell_length_b 6.684
_cell_length_c 6.684
_cell_angle_alpha 90.00
_cell_angle_beta 90.00
_cell_angle_gamma 90.00
loop_
_atom_site_label
_atom_site_fract_x
_atom_site_fract_y
_atom_site_fract_z
Hf1 0.000 0.000 0.000
Nb1 0.250 0.250 0.250
Au1 0.000 0.000 0.500
# * energy above the most stable polymorph in this dataset: 1.21 eV/f.u.
# * formation enthalpy at 0 K: 104.0 meV per atom

# 10
# HfNb3Au | Alexandria | PBE | optimized geometry
data_HfNb3Au
_chemical_formula_sum 'Hf1 Nb3 Au1'
_symmetry_space_group_name_H-M 'P m -3 m'
_symmetry_Int_Tables_number 221
_symmetry_space_group_name_Hall '-P 4 2 3'
_cell_length_a 4.877
_cell_length_b 4.877
_cell_length_c 4.877
_cell_angle_alpha 90.00
_cell_angle_beta 90.00
_cell_angle_gamma 90.00
loop_
_atom_site_label
_atom_site_fract_x
_atom_site_fract_y
_atom_site_fract_z
Hf1 0.000 0.000 0.000
Nb1 0.000 0.000 0.500
Au1 0.500 0.500 0.500
# * energy above the most stable polymorph in this dataset: 1.01 eV/f.u.
# * formation enthalpy at 0 K: 1608.3 meV per atom